# Li2SnP4O12

A relaxed Li2SnP4O12 crystal (PBE, Alexandria via LeMat-Bulk).

Geometry as extended XYZ:
```
38
Lattice="4.606 -8.365 0.000 4.606 8.365 0.000 -0.937 0.000 7.501" Properties=species:S:1:pos:R:3 pbc="T T T"
Li 2.561 5.197 5.915
Li 5.245 5.197 5.336
Li 3.029 -5.197 2.165
Li 5.713 -5.197 1.585
Sn 4.371 1.899 1.875
Sn 3.903 -1.899 5.625
P 3.201 5.388 2.800
P 2.459 1.322 6.080
P 5.541 5.388 0.950
P 2.928 -1.322 2.330
P 5.346 1.322 5.171
P 2.733 -5.388 6.550
P 5.815 -1.322 1.420
P 5.073 -5.388 4.701
O 2.674 4.112 2.207
O 1.555 1.782 4.823
O 3.660 5.388 4.232
O 4.371 6.003 1.875
O 2.047 2.053 7.326
O 4.146 5.388 7.018
O 2.023 -1.782 1.072
O 2.958 0.184 2.359
O 2.489 -0.184 6.109
O 3.903 1.908 5.625
O 6.069 4.112 1.543
O 2.516 -2.053 3.575
O 5.759 2.053 3.925
O 2.205 -4.112 5.958
O 4.371 -1.908 1.875
O 5.785 0.184 1.392
O 5.317 -0.184 5.142
O 6.251 1.782 6.428
O 4.128 -5.388 0.482
O 6.227 -2.053 0.175
O 3.903 -6.003 5.625
O 4.614 -5.388 3.268
O 6.719 -1.782 2.678
O 5.601 -4.112 5.293
```

Values from the calculation:
The energy above the most stable polymorph in this dataset is 0.000 eV per atom. The value obtained for the energy relative to the elements, uncorrected is -3852 kJ/mol of formula units. As for the space group: No. 15.


# YLuTe3

A relaxed YLuTe3 crystal (PBE, Alexandria via LeMat-Bulk).

Geometry as extended XYZ:
```
20
Lattice="5.929 -6.053 0.000 5.929 6.053 0.000 -0.325 0.000 8.509" Properties=species:S:1:pos:R:3 pbc="T T T"
Y 2.209 0.662 3.068
Y 2.047 -0.662 7.322
Y 9.486 0.662 1.187
Y 9.324 -0.662 5.441
Lu 5.848 3.029 2.127
Lu 5.685 1.703 6.381
Lu 5.848 -1.703 2.127
Lu 5.685 -3.029 6.381
Te 2.586 2.157 5.821
Te 5.076 4.394 8.010
Te 6.294 4.394 4.753
Te 4.493 0.724 0.757
Te 2.748 -2.157 1.567
Te 4.331 -0.724 5.011
Te 7.202 0.724 3.498
Te 8.785 2.157 6.942
Te 7.039 -0.724 7.752
Te 5.238 -4.394 3.756
Te 6.457 -4.394 0.499
Te 8.947 -2.157 2.688
```

Values from the calculation:
The energy above the most stable polymorph in this dataset is 0.161 eV per atom. The value obtained for the energy relative to the elements, uncorrected is -593 kJ/mol of formula units. As for the space group: No. 15.


# SrTiFe2Te

A relaxed SrTiFe2Te crystal (PBE, Alexandria via LeMat-Bulk).

Geometry as extended XYZ:
```
5
Lattice="4.772 0.000 0.000 0.000 4.772 0.000 0.000 0.000 5.051" Properties=species:S:1:pos:R:3 pbc="T T T"
Sr 0.000 0.000 0.000
Ti 2.386 2.386 0.000
Fe 0.000 2.386 2.525
Fe 2.386 0.000 2.525
Te 2.386 2.386 2.525
```

Values from the calculation:
The value obtained for the energy relative to the elements, uncorrected is 443 kJ/mol of formula units. As for the space group: No. 123.


# CrRe3N

A relaxed CrRe3N crystal (PBE, Alexandria via LeMat-Bulk).

Geometry as extended XYZ:
```
5
Lattice="4.024 0.000 0.000 0.000 4.024 0.000 0.000 0.000 4.024" Properties=species:S:1:pos:R:3 pbc="T T T"
Cr 0.000 0.000 0.000
Re 0.000 2.012 2.012
Re 2.012 0.000 2.012
Re 2.012 2.012 0.000
N 2.012 2.012 2.012
```

Values from the calculation:
The value obtained for the energy relative to the elements, uncorrected is 160 kJ/mol of formula units. As for the space group: No. 221.


# MgNiS2Cl

A relaxed MgNiS2Cl crystal (PBE, Alexandria via LeMat-Bulk).

Geometry as extended XYZ:
```
5
Lattice="4.521 0.000 0.000 0.000 4.521 0.000 0.000 0.000 4.572" Properties=species:S:1:pos:R:3 pbc="T T T"
Mg 0.000 0.000 0.000
Ni 2.261 2.261 2.286
S 0.000 2.261 2.286
S 2.261 0.000 2.286
Cl 2.261 2.261 0.000
```

Values from the calculation:
The energy above the most stable polymorph in this dataset is 0.000 eV per atom. The value obtained for the energy relative to the elements, uncorrected is -103 kJ/mol of formula units. As for the space group: No. 123.


# Zn2CuW

A relaxed Zn2CuW crystal (PBE, Alexandria via LeMat-Bulk).

Geometry as extended XYZ:
```
4
Lattice="2.957 0.000 0.000 0.000 4.376 0.000 0.000 0.000 4.419" Properties=species:S:1:pos:R:3 pbc="T T T"
Zn 0.000 0.000 0.000
Zn 1.479 0.000 2.209
Cu 0.000 2.188 2.209
W 1.479 2.188 0.000
```

Values from the calculation:
The energy above the most stable polymorph in this dataset is 0.227 eV per atom. As for the space group: No. 47. The energy of formation from the pure elements is 331 meV/atom.


# RbSb2HI

A relaxed RbSb2HI crystal (PBE, Alexandria via LeMat-Bulk).

Geometry as extended XYZ:
```
5
Lattice="4.641 0.000 0.000 0.000 4.641 0.000 0.000 0.000 7.716" Properties=species:S:1:pos:R:3 pbc="T T T"
Rb 0.000 0.000 0.000
Sb 0.000 2.321 3.858
Sb 2.321 0.000 3.858
H 2.321 2.321 3.858
I 2.321 2.321 0.000
```

Values from the calculation:
The energy above the most stable polymorph in this dataset is 0.000 eV per atom. As for the space group: No. 123.


# CeLuAlGa

A relaxed CeLuAlGa crystal (PBE, Alexandria via LeMat-Bulk).

Geometry as extended XYZ:
```
16
Lattice="7.171 0.000 0.000 0.000 7.171 0.000 0.000 0.000 7.171" Properties=species:S:1:pos:R:3 pbc="T T T"
Ce 0.000 0.000 0.000
Ce 0.000 3.585 3.585
Ce 3.585 0.000 3.585
Ce 3.585 3.585 0.000
Lu 0.000 0.000 3.585
Lu 0.000 3.585 0.000
Lu 3.585 0.000 0.000
Lu 3.585 3.585 3.585
Al 1.793 1.793 5.378
Al 1.793 5.378 1.793
Al 5.378 1.793 1.793
Al 5.378 5.378 5.378
Ga 1.793 1.793 1.793
Ga 1.793 5.378 5.378
Ga 5.378 1.793 5.378
Ga 5.378 5.378 1.793
```

Values from the calculation:
As for the space group: No. 216. The energy of formation from the pure elements is -422 meV/atom.


# CaLa2Br

A relaxed CaLa2Br crystal (PBE, Alexandria via LeMat-Bulk).

Geometry as extended XYZ:
```
8
Lattice="3.635 0.000 0.000 0.000 5.662 0.000 0.000 0.000 13.111" Properties=species:S:1:pos:R:3 pbc="T T T"
Ca 0.000 0.000 0.000
Ca 1.818 2.831 6.555
La 0.000 2.831 2.790
La 0.000 2.831 10.320
La 1.818 0.000 3.765
La 1.818 0.000 9.346
Br 0.000 0.000 6.555
Br 1.818 2.831 0.000
```

Values from the calculation:
The value obtained for the energy relative to the elements, uncorrected is -191 kJ/mol of formula units. As for the space group: No. 71.


# Hg2BiCl6

A relaxed Hg2BiCl6 crystal (PBE, Alexandria via LeMat-Bulk).

Geometry as extended XYZ:
```
9
Lattice="7.777 -2.129 0.000 7.777 2.129 0.000 -0.269 0.000 9.819" Properties=species:S:1:pos:R:3 pbc="T T T"
Hg 2.950 0.000 3.339
Hg 12.334 0.000 6.480
Bi 0.000 0.000 0.000
Cl 0.461 0.000 2.696
Cl 3.037 0.000 6.381
Cl 5.992 0.000 0.273
Cl 9.293 0.000 9.546
Cl 12.248 0.000 3.438
Cl 14.824 0.000 7.123
```

Values from the calculation:
The value obtained for the energy relative to the elements, uncorrected is -532 kJ/mol of formula units. As for the space group: No. 12.


# K2SrV

A relaxed K2SrV crystal (PBE, Alexandria via LeMat-Bulk).

Geometry as extended XYZ:
```
16
Lattice="5.115 0.000 0.000 0.000 5.115 0.000 0.000 0.000 28.275" Properties=species:S:1:pos:R:3 pbc="T T T"
K 1.166 1.279 3.534
K 1.279 3.724 10.603
K 1.279 3.949 24.741
K 1.391 1.279 17.672
K 3.724 3.836 17.672
K 3.836 1.166 24.741
K 3.836 1.391 10.603
K 3.949 3.836 3.534
Sr 0.000 0.000 14.138
Sr 0.000 2.557 21.206
Sr 2.557 0.000 7.069
Sr 2.557 2.557 0.000
V 0.000 0.000 0.000
V 0.000 2.557 7.069
V 2.557 0.000 21.206
V 2.557 2.557 14.138
```

Values from the calculation:
The energy above the most stable polymorph in this dataset is 0.000 eV per atom. As for the space group: No. 122. The energy of formation from the pure elements is 882 meV/atom.


# CdReNi

A relaxed CdReNi crystal (PBE, Alexandria via LeMat-Bulk).

Geometry as extended XYZ:
```
6
Lattice="2.795 0.000 0.000 0.000 2.795 0.000 0.000 0.000 11.705" Properties=species:S:1:pos:R:3 pbc="T T T"
Cd 0.000 0.000 0.000
Cd 1.397 1.397 5.852
Re 0.000 0.000 3.585
Re 1.397 1.397 9.437
Ni 0.000 0.000 7.887
Ni 1.397 1.397 2.035
```

Values from the calculation:
The energy above the most stable polymorph in this dataset is 0.000 eV per atom. As for the space group: No. 107. The energy of formation from the pure elements is 272 meV/atom.


# PmMg4Hg

A relaxed PmMg4Hg crystal (PBE, Alexandria via LeMat-Bulk).

Geometry as extended XYZ:
```
6
Lattice="0.000 4.231 4.231 4.231 0.000 4.231 4.231 4.231 0.000" Properties=species:S:1:pos:R:3 pbc="T T T"
Pm 0.000 0.000 0.000
Mg 5.293 3.169 3.169
Mg 3.169 5.293 3.169
Mg 3.169 3.169 5.293
Mg 5.293 5.293 5.293
Hg 2.116 2.116 2.116
```

Values from the calculation:
The energy above the most stable polymorph in this dataset is 0.183 eV per atom. As for the space group: No. 216. The energy of formation from the pure elements is 6 meV/atom.


# CrTe3

A relaxed CrTe3 crystal (PBE, Alexandria via LeMat-Bulk).

Geometry as extended XYZ:
```
4
Lattice="3.149 0.000 0.000 0.000 3.149 0.000 0.000 0.000 10.776" Properties=species:S:1:pos:R:3 pbc="T T T"
Cr 0.000 0.000 0.000
Te 0.000 0.000 5.388
Te 1.575 1.575 1.641
Te 1.575 1.575 9.135
```

Values from the calculation:
The value obtained for the energy relative to the elements, uncorrected is 54 kJ/mol of formula units. As for the space group: No. 123.


# Ti2TeC

A relaxed Ti2TeC crystal (PBE, Alexandria via LeMat-Bulk).

Geometry as extended XYZ:
```
16
Lattice="6.272 0.000 0.000 0.000 6.272 0.000 0.000 0.000 6.272" Properties=species:S:1:pos:R:3 pbc="T T T"
Ti 1.568 1.568 1.568
Ti 1.568 1.568 4.704
Ti 1.568 4.704 1.568
Ti 1.568 4.704 4.704
Ti 4.704 1.568 1.568
Ti 4.704 1.568 4.704
Ti 4.704 4.704 1.568
Ti 4.704 4.704 4.704
Te 0.000 0.000 0.000
Te 0.000 3.136 3.136
Te 3.136 0.000 3.136
Te 3.136 3.136 0.000
C 0.000 0.000 3.136
C 0.000 3.136 0.000
C 3.136 0.000 0.000
C 3.136 3.136 3.136
```

Values from the calculation:
The value obtained for the energy relative to the elements, uncorrected is 202 kJ/mol of formula units. As for the space group: No. 225.


# Ac2SmErS4

A relaxed Ac2SmErS4 crystal (PBE, Alexandria via LeMat-Bulk).

Geometry as extended XYZ:
```
8
Lattice="7.017 0.000 0.000 0.000 4.025 0.000 -2.314 0.000 7.012" Properties=species:S:1:pos:R:3 pbc="T T T"
Ac 0.000 0.000 0.000
Ac 3.509 2.012 0.000
Sm -1.157 2.012 3.506
Er 2.352 0.000 3.506
S 0.065 0.000 5.068
S 1.227 2.012 1.977
S 3.477 2.012 5.035
S 4.638 0.000 1.945
```

Values from the calculation:
The value obtained for the energy relative to the elements, uncorrected is -1531 kJ/mol of formula units. As for the space group: No. 10.


# Ba8As3SeBr4

A relaxed Ba8As3SeBr4 crystal (PBE, Alexandria via LeMat-Bulk).

Geometry as extended XYZ:
```
16
Lattice="4.777 2.758 7.896 -4.777 2.758 7.896 0.000 -5.516 7.896" Properties=species:S:1:pos:R:3 pbc="T T T"
Ba -2.429 -1.402 13.587
Ba 0.000 0.000 5.700
Ba 0.000 -2.804 10.100
Ba -2.429 1.402 10.100
Ba 2.429 -1.402 13.587
Ba 0.000 2.804 13.587
Ba 0.000 0.000 17.987
Ba 2.429 1.402 10.100
As -4.777 0.000 11.844
As -2.389 1.379 3.948
As 2.389 1.379 3.948
Se 0.000 0.000 11.844
Br 0.000 0.000 0.000
Br -2.389 -1.379 7.896
Br -2.389 1.379 15.791
Br 0.000 2.758 7.896
```

Values from the calculation:
The value obtained for the energy relative to the elements, uncorrected is -2585 kJ/mol of formula units. As for the space group: No. 166.


# BaRe3Ru

A relaxed BaRe3Ru crystal (PBE, Alexandria via LeMat-Bulk).

Geometry as extended XYZ:
```
5
Lattice="4.860 0.000 0.000 0.000 4.860 0.000 0.000 0.000 4.860" Properties=species:S:1:pos:R:3 pbc="T T T"
Ba 0.000 0.000 0.000
Re 0.000 0.000 2.430
Re 0.000 2.430 0.000
Re 2.430 0.000 0.000
Ru 2.430 2.430 2.430
```

Values from the calculation:
The energy above the most stable polymorph in this dataset is 2.465 eV per atom. As for the space group: No. 221. The energy of formation from the pure elements is 4227 meV/atom.


# Sm9Dy4Zn11

A relaxed Sm9Dy4Zn11 crystal (PBE, Alexandria via LeMat-Bulk).

Geometry as extended XYZ:
```
24
Lattice="7.689 -10.835 0.000 7.689 10.835 0.000 0.000 0.000 3.510" Properties=species:S:1:pos:R:3 pbc="T T T"
Sm 0.000 0.000 0.000
Sm 5.916 5.644 0.000
Sm 5.878 1.915 0.000
Sm 9.462 5.644 0.000
Sm 5.878 -1.915 0.000
Sm 9.500 1.915 0.000
Sm 5.916 -5.644 0.000
Sm 9.500 -1.915 0.000
Sm 9.462 -5.644 0.000
Dy 2.492 1.949 0.000
Dy 2.492 -1.949 0.000
Dy 12.886 1.949 0.000
Dy 12.886 -1.949 0.000
Zn 4.047 3.903 1.755
Zn 7.689 7.969 1.755
Zn 4.075 0.000 1.755
Zn 7.689 3.720 1.755
Zn 4.047 -3.903 1.755
Zn 7.689 0.000 1.755
Zn 11.331 3.903 1.755
Zn 7.689 -3.720 1.755
Zn 11.303 0.000 1.755
Zn 7.689 -7.969 1.755
Zn 11.331 -3.903 1.755
```

Values from the calculation:
As for the space group: No. 65. The energy of formation from the pure elements is -237 meV/atom.


# K2TbScO4

A relaxed K2TbScO4 crystal (PBE, Alexandria via LeMat-Bulk).

Geometry as extended XYZ:
```
8
Lattice="5.849 0.000 0.000 0.000 3.386 0.000 -1.949 0.000 6.217" Properties=species:S:1:pos:R:3 pbc="T T T"
K 0.000 0.000 0.000
K 2.924 1.693 0.000
Tb -0.974 1.693 3.109
Sc 1.950 0.000 3.109
O 0.089 0.000 4.248
O 1.046 1.693 1.986
O 2.854 1.693 4.231
O 3.811 0.000 1.969
```

Values from the calculation:
The value obtained for the energy relative to the elements, uncorrected is -2105 kJ/mol of formula units. As for the space group: No. 10.


Record order is preserved below.
DOS(E_F): 0.0 0.0 10.3 5.1 3.9 1.9 4.0 23.2 7.5 3.0 22.3 6.3 5.1 2.6 25.1 3.8 3.8 8.3 23.5 0.0 states/eV/cell